1.
Ho3TeP2Rh9 | GGA-PBE | optimized geometry

Computed properties:
For the energy relative to the elements, uncorrected, the calculation gives -64.55 kJ/mol of atoms. The calculation puts the total magnetization at 0.000 μB/f.u.

a = 6.0494 Å, b = 6.0494 Å, c = 9.2411 Å
α = 90.00°, β = 90.00°, γ = 120.00°
Space group P-3m1 (No. 164)
Unique sites:
Ho (0.0000, 0.0000, 0.0000)
Ho (0.3333, 0.6667, 0.7344)
Te (0.0000, 0.0000, 0.5000)
P (0.3333, 0.6667, 0.1604)
Rh (0.0000, 0.5000, 0.0000)
Rh (0.1512, 0.3025, 0.2729)

2.
RbPSe3 | GGA-PBE | optimized geometry

Computed properties:
For the energy relative to the elements, uncorrected, the calculation gives 159.66 kJ/mol of atoms. The calculation puts the total magnetization at 4.405 μB/f.u.

a = 6.1030 Å, b = 6.1030 Å, c = 6.1030 Å
α = 90.00°, β = 90.00°, γ = 90.00°
Space group Pm-3m (No. 221)
Unique sites:
Rb (0.0000, 0.0000, 0.0000)
P (0.5000, 0.5000, 0.5000)
Se (0.0000, 0.0000, 0.5000)

3.
Be3AlB12 | GGA-PBE | optimized geometry

Computed properties:
The calculation puts the total magnetization at 0.000 μB/f.u. The calculation puts the energy relative to the elements at 0.313 eV per atom.

a = 10.4525 Å, b = 10.4525 Å, c = 8.3044 Å
α = 90.00°, β = 90.00°, γ = 120.00°
Space group R3c (No. 161, hexagonal axes)
Unique sites:
Be (0.0820, 0.3738, 0.0000)
Al (0.0000, 0.0000, 0.4961)
B (0.0260, 0.5056, 0.8811)
B (0.1590, 0.4769, 0.7784)
B (0.1613, 0.4402, 0.3826)
B (0.1674, 0.4442, 0.5849)

4.
BaRhSeBr2 | GGA-PBE | optimized geometry

Computed properties:
The energy above the most stable polymorph in this dataset is 5.79 eV/f.u. For the energy relative to the elements, uncorrected, the calculation gives 15.45 kJ/mol of atoms. The calculation puts the total magnetization at 3.006 μB/f.u.

a = 6.1891 Å, b = 6.1891 Å, c = 6.3875 Å
α = 90.00°, β = 90.00°, γ = 90.00°
Space group P4/mmm (No. 123)
Unique sites:
Ba (0.0000, 0.0000, 0.0000)
Rh (0.5000, 0.5000, 0.5000)
Se (0.0000, 0.0000, 0.5000)
Br (0.0000, 0.5000, 0.0000)

5.
AcHoCd17 | GGA-PBE | optimized geometry

Computed properties:
The calculation puts the total magnetization at 0.000 μB/f.u. The calculation puts the energy relative to the elements at -0.141 eV per atom.

a = 10.1513 Å, b = 10.1513 Å, c = 15.0626 Å
α = 90.00°, β = 90.00°, γ = 120.00°
Space group R3m (No. 160, hexagonal axes)
Unique sites:
Ac (0.0000, 0.0000, 0.0000)
Ho (0.0000, 0.0000, 0.3396)
Cd (0.0000, 0.0000, 0.5589)
Cd (0.0000, 0.0000, 0.7570)
Cd (0.0371, 0.3662, 0.3326)
Cd (0.1752, 0.3503, 0.1421)
Cd (0.1802, 0.3605, 0.5047)
Cd (0.1920, 0.3841, 0.8510)

| no. | N(E_F) (states/eV/cell) |
| --- | --- |
| 1 | 7.1 |
| 2 | 11.4 |
| 3 | 16.7 |
| 4 | 14.2 |
| 5 | 16.0 |